Ba3CaHf | PBE | optimized geometry

Cell lengths 6.4568, 6.4568, 6.4568 Å; angles 90.00, 90.00, 90.00 degrees
Last column: nearest neighbours and their distance in Å.
Sites, in units of the cell vectors:
Hf1 0.0000 0.0000 0.0000  6 Ba 3.23
Ba1 0.0000 0.0000 0.5000  2 Hf 3.23
Ba2 0.0000 0.5000 0.0000  2 Hf 3.23
Ca1 0.5000 0.5000 0.5000  12 Ba 4.57
Ba3 0.5000 0.0000 0.0000  2 Hf 3.23

Calculated values
E above lowest polymorph = 0.0000 eV/atom
Energy of formation = 675 meV per atom
Symmetry = Pm-3m (221)



BaCa3Hf | PBE | optimized geometry

Cell lengths 6.0669, 6.0669, 6.0669 Å; angles 90.00, 90.00, 90.00 degrees
Last column: nearest neighbours and their distance in Å.
Sites, in units of the cell vectors:
Ba1 0.5000 0.5000 0.5000  12 Ca 4.29
Ca1 0.0000 0.0000 0.5000  2 Hf 3.03
Ca2 0.0000 0.5000 0.0000  2 Hf 3.03
Ca3 0.5000 0.0000 0.0000  2 Hf 3.03
Hf1 0.0000 0.0000 0.0000  6 Ca 3.03

Calculated values
E above lowest polymorph = 0.0000 eV/atom
Energy of formation = 662 meV per atom
Symmetry = Pm-3m (221)



BaCa2Hf | PBE | optimized geometry

Cell lengths 3.5372, 3.5372, 13.5514 Å; angles 82.50, 82.50, 60.00 degrees
Last column: nearest neighbours and their distance in Å.
Sites, in units of the cell vectors:
Ca1 0.9206 0.9206 0.2382  1 Hf 3.19, 6 Ca 3.54
Ca2 0.0794 0.0794 0.7618  1 Hf 3.19, 6 Ca 3.54
Ba1 0.5000 0.5000 0.5000  6 Ba 3.54
Hf1 0.0000 0.0000 0.0000  2 Ca 3.19, 6 Hf 3.54

Calculated values
E above lowest polymorph = 0.1102 eV/atom
Energy of formation = 666 meV per atom
Symmetry = R-3m (166)



Ba2CaHf2 | PBE | optimized geometry

Cell lengths 4.0572, 4.0572, 13.2637 Å; angles 81.20, 81.20, 90.00 degrees
Last column: nearest neighbours and their distance in Å.
Sites, in units of the cell vectors:
Ba1 0.3738 0.3738 0.2523  4 Hf 3.80, 4 Ba 4.06
Ba2 0.6262 0.6262 0.7477  4 Hf 3.80, 4 Ba 4.06
Hf1 0.2500 0.7500 0.5000  4 Hf 2.87
Ca1 0.0000 0.0000 0.0000  4 Ca 4.06, 8 Ba 4.35
Hf2 0.7500 0.2500 0.5000  4 Hf 2.87

Calculated values
E above lowest polymorph = 0.0000 eV/atom
Energy of formation = 564 meV per atom
Symmetry = I4/mmm (139)



BaCaHf | PBE | optimized geometry

Cell lengths 3.7186, 15.9167, 4.0812 Å; angles 90.00, 90.00, 103.48 degrees
Last column: nearest neighbours and their distance in Å.
Sites, in units of the cell vectors:
Ca1 0.6348 0.0772 0.6804  5 Hf 3.36-3.49, 2 Ca 3.72
Ba1 0.9208 0.8668 0.1804  4 Ba 3.72-4.08
Hf1 0.8518 0.2941 0.6804  4 Hf 3.02, 1 Ca 3.36
Hf2 0.2731 0.2151 0.1804  4 Hf 3.02
Ba2 0.5092 0.4529 0.1804  5 Hf 3.68-3.70, 4 Ba 3.72-4.08
Ca2 0.2174 0.6634 0.6804  4 Ca 3.72-4.08

Calculated values
E above lowest polymorph = 0.0000 eV/atom
Energy of formation = 305 meV per atom
Symmetry = Pm (6)



Ba2CaHf2 | PBE | optimized geometry

Cell lengths 10.1686, 10.1686, 3.4848 Å; angles 90.00, 90.00, 90.00 degrees
Last column: nearest neighbours and their distance in Å.
Sites, in units of the cell vectors:
Hf1 0.0998 0.5998 0.5000  1 Hf 2.87
Ba1 0.1919 0.3081 0.0000  6 Hf 3.47-3.56, 2 Ba 3.48, 2 Ca 3.69
Ba2 0.8081 0.6919 0.0000  6 Hf 3.47-3.56, 2 Ba 3.48, 2 Ca 3.69
Hf2 0.9002 0.4002 0.5000  1 Hf 2.87
Hf3 0.4002 0.0998 0.5000  1 Hf 2.87
Ba3 0.6919 0.1919 0.0000  6 Hf 3.47-3.56, 2 Ba 3.48, 2 Ca 3.69
Hf4 0.5998 0.9002 0.5000  1 Hf 2.87
Ca1 0.0000 0.0000 0.0000  2 Ca 3.48, 4 Ba 3.69
Ba4 0.3081 0.8081 0.0000  6 Hf 3.47-3.56, 2 Ba 3.48, 2 Ca 3.69
Ca2 0.5000 0.5000 0.0000  2 Ca 3.48, 4 Ba 3.69

Calculated values
E above lowest polymorph = 0.1556 eV/atom
Energy of formation = 720 meV per atom
Symmetry = P4/mbm (127)



BaCaHf3 | PBE | optimized geometry

Cell lengths 5.3889, 5.3889, 5.3889 Å; angles 90.00, 90.00, 90.00 degrees
Last column: nearest neighbours and their distance in Å.
Sites, in units of the cell vectors:
Ca1 0.5000 0.5000 0.5000  12 Hf 3.81
Hf1 0.5000 0.0000 0.0000  2 Ba 2.69
Ba1 0.0000 0.0000 0.0000  6 Hf 2.69
Hf2 0.0000 0.0000 0.5000  2 Ba 2.69
Hf3 0.0000 0.5000 0.0000  2 Ba 2.69

Calculated values
E above lowest polymorph = 0.1000 eV/atom
Energy of formation = 1669 meV per atom
Symmetry = Pm-3m (221)



BaCaHf | PBE | optimized geometry

Cell lengths 3.5558, 6.3700, 10.1835 Å; angles 78.23, 89.95, 90.04 degrees
Last column: nearest neighbours and their distance in Å.
Sites, in units of the cell vectors:
Ba1 0.5720 0.6281 0.3001  2 Ba 3.56, 5 Hf 3.66-3.81
Ba2 0.5659 0.2084 0.0536  2 Ba 3.56, 2 Hf 3.75-3.77, 1 Ca 3.98
Hf1 0.0713 0.0888 0.3862  2 Hf 2.92
Hf2 0.5706 0.8683 0.5979  2 Hf 2.92
Ca1 0.0700 0.3260 0.6616  5 Hf 3.45-3.82, 3 Ca 3.56-3.83
Ca2 0.0694 0.7663 0.8880  2 Hf 3.39-3.40, 2 Ca 3.56

Calculated values
E above lowest polymorph = 0.1383 eV/atom
Energy of formation = 443 meV per atom
Symmetry = P1 (1)



BaCaHf3 | PBE | optimized geometry

Cell lengths 5.4263, 5.4263, 5.4263 Å; angles 90.00, 90.00, 90.00 degrees
Last column: nearest neighbours and their distance in Å.
Sites, in units of the cell vectors:
Ba1 0.5000 0.5000 0.5000  12 Hf 3.84
Hf1 0.0000 0.0000 0.5000  2 Ca 2.71
Hf2 0.5000 0.0000 0.0000  2 Ca 2.71
Ca1 0.0000 0.0000 0.0000  6 Hf 2.71
Hf3 0.0000 0.5000 0.0000  2 Ca 2.71

Calculated values
E above lowest polymorph = 0.0000 eV/atom
Energy of formation = 1569 meV per atom
Symmetry = Pm-3m (221)



K2BaCaHf | PBE | optimized geometry

Cell lengths 6.6449, 6.1258, 6.6449 Å; angles 90.00, 90.00, 90.00 degrees
Last column: nearest neighbours and their distance in Å.
Sites, in units of the cell vectors:
Ba1 0.5000 0.5000 0.5000  8 K 4.52, 4 Hf 4.70
Hf1 0.0000 0.5000 0.0000  2 Ca 3.06
Ca1 0.0000 0.0000 0.0000  2 Hf 3.06, 4 K 3.32
K1 0.0000 0.0000 0.5000  2 Ca 3.32
K2 0.5000 0.0000 0.0000  2 Ca 3.32

Calculated values
Energy of formation = 1042 meV per atom
Symmetry = P4/mmm (123)



BaCaHfNbO6 | PBE | optimized geometry

Cell lengths 5.8408, 5.8408, 5.8408 Å; angles 60.00, 60.00, 60.00 degrees
Last column: nearest neighbours and their distance in Å.
Sites, in units of the cell vectors:
Ba1 0.7500 0.7500 0.7500  12 O 2.92
O1 0.7483 0.2517 0.7483  1 Nb 2.05, 1 Hf 2.08
O2 0.2517 0.7483 0.7483  1 Nb 2.05, 1 Hf 2.08
O3 0.7483 0.2517 0.2517  1 Nb 2.05, 1 Hf 2.08
Nb1 0.5000 0.5000 0.5000  6 O 2.05
O4 0.2517 0.2517 0.7483  1 Nb 2.05, 1 Hf 2.08
O5 0.2517 0.7483 0.2517  1 Nb 2.05, 1 Hf 2.08
O6 0.7483 0.7483 0.2517  1 Nb 2.05, 1 Hf 2.08
Hf1 0.0000 0.0000 0.0000  6 O 2.08
Ca1 0.2500 0.2500 0.2500  12 O 2.92

Calculated values
Symmetry = F-43m (216)
E = -83.4 eV per formula unit



Ba3CaHf2O9 | PBE | optimized geometry

Cell lengths 6.0737, 6.0737, 7.4935 Å; angles 90.00, 90.00, 120.00 degrees
Last column: nearest neighbours and their distance in Å.
Sites, in units of the cell vectors:
O1 0.1757 0.8243 0.3196  1 Hf 2.05, 1 Ca 2.29
Ba1 0.0000 0.0000 0.0000  12 O 3.02-3.04
O2 0.8243 0.6487 0.6804  1 Hf 2.05, 1 Ca 2.29
Hf1 0.6667 0.3333 0.8416  6 O 2.05-2.12
O3 0.8243 0.1757 0.6804  1 Hf 2.05, 1 Ca 2.29
O4 0.5000 0.0000 0.0000  2 Hf 2.12
O5 0.5000 0.5000 0.0000  2 Hf 2.12
O6 0.3513 0.1757 0.6804  1 Hf 2.05, 1 Ca 2.29
O7 0.1757 0.3513 0.3196  1 Hf 2.05, 1 Ca 2.29
Ba2 0.6667 0.3333 0.3421  12 O 3.03-3.11
O8 0.0000 0.5000 0.0000  2 Hf 2.12
Hf2 0.3333 0.6667 0.1584  6 O 2.05-2.12
O9 0.6487 0.8243 0.3196  1 Hf 2.05, 1 Ca 2.29
Ca1 0.0000 0.0000 0.5000  6 O 2.29
Ba3 0.3333 0.6667 0.6579  12 O 3.03-3.11

Calculated values
Symmetry = P-3m1 (164)
E = -115.8 eV per formula unit



BaCaHfSnO6 | PBE | optimized geometry

Cell lengths 5.8543, 5.8543, 5.8543 Å; angles 60.00, 60.00, 60.00 degrees
Last column: nearest neighbours and their distance in Å.
Sites, in units of the cell vectors:
Hf1 0.0000 0.0000 0.0000  6 O 2.07
O1 0.7501 0.2499 0.7501  1 Hf 2.07, 1 Sn 2.07
O2 0.7501 0.2499 0.2499  1 Hf 2.07, 1 Sn 2.07
O3 0.2499 0.2499 0.7501  1 Hf 2.07, 1 Sn 2.07
Ba1 0.2500 0.2500 0.2500  12 O 2.93
Sn1 0.5000 0.5000 0.5000  6 O 2.07
O4 0.2499 0.7501 0.2499  1 Hf 2.07, 1 Sn 2.07
O5 0.7501 0.7501 0.2499  1 Hf 2.07, 1 Sn 2.07
O6 0.2499 0.7501 0.7501  1 Hf 2.07, 1 Sn 2.07
Ca1 0.7500 0.7500 0.7500  12 O 2.93

Calculated values
Symmetry = F-43m (216)
E = -74.9 eV per formula unit



Fermi-level density of states values (in states/eV per atom) by entry order: 1.19; 2.39; 1.73; 0.76; 1.78; 0.63; 2.29; 1.80; 2.04; 1.01; 0.29; 0.71; 0.00.